A relaxed structure of CeSc4Sn2, computed with PBE.

Space group: I4/mmm
DFT formation energy (meV/atom): 287
E (eV per cell): -74.515
Density of states at the Fermi level (states/eV per atom): 1.505

abc: 4.8356 4.8356 15.5497
angles: 90.00 90.00 90.00
Element x y z (fractional)
Ce 0.0000 0.0000 0.0000
Ce 0.5000 0.5000 0.5000
Sc 0.0000 0.0000 0.1786
Sc 0.0000 0.0000 0.8214
Sc 0.0000 0.5000 0.0000
Sc 0.0000 0.5000 0.5000
Sc 0.5000 0.0000 0.0000
Sc 0.5000 0.0000 0.5000
Sc 0.5000 0.5000 0.3214
Sc 0.5000 0.5000 0.6786
Sn 0.0000 0.0000 0.3669
Sn 0.0000 0.0000 0.6331
Sn 0.5000 0.5000 0.1331
Sn 0.5000 0.5000 0.8669